{
  "formula": "CeGd2Os",
  "functional": "PBE",
  "state": "optimized geometry",
  "ef_ev_per_atom": -0.005,
  "e_tot_ev_per_fu": -45.35,
  "lattice_angstrom": [[-2.9528, 1.2737, -1.1476], [0.7646, -1.0672, -3.1520], [-4.1884, -8.1417, 1.7406]],
  "species": ["Gd", "Gd", "Ce", "Os"],
  "frac_coords": [[0.0000, 0.0000, 0.8189], [0.0000, 0.0000, 0.1811], [0.5000, 0.5000, 0.5000], [0.5000, 0.5000, 0.0000]]
}